# 1
## SrCaPtSe2 (GGA-PBE)

Data for a geometry-optimized SrCaPtSe2 structure. Values from VASP.

```
&SYSTEM
  ibrav = 0, nat = 5, ntyp = 4
/
ATOMIC_SPECIES
Sr 87.62 Sr.upf
Ca 40.08 Ca.upf
Pt 195.08 Pt.upf
Se 78.96 Se.upf
CELL_PARAMETERS angstrom
5.328 0.000 0.000
0.000 5.328 0.000
0.000 0.000 5.220
ATOMIC_POSITIONS crystal
Sr 0.000 0.000 0.000
Ca 0.500 0.500 0.000
Pt 0.000 0.000 0.500
Se 0.000 0.500 0.500
Se 0.500 0.000 0.500
```

Calculated values
Size of the total moment (μB per atom): 0.000
Formation energy (no corrections) (eV/atom): -0.49
Space group: No. 123

# 2
## CaTc2PtSe (GGA-PBE)

Data for a geometry-optimized CaTc2PtSe structure. Values from VASP.

```
&SYSTEM
  ibrav = 0, nat = 5, ntyp = 4
/
ATOMIC_SPECIES
Ca 40.08 Ca.upf
Tc 98.00 Tc.upf
Pt 195.08 Pt.upf
Se 78.96 Se.upf
CELL_PARAMETERS angstrom
4.916 0.000 0.000
0.000 4.916 0.000
0.000 0.000 5.025
ATOMIC_POSITIONS crystal
Ca 0.000 0.000 0.000
Tc 0.000 0.500 0.000
Tc 0.500 0.000 0.000
Pt 0.500 0.500 0.500
Se 0.000 0.000 0.500
```

Calculated values
Size of the total moment (μB per atom): 1.358
Formation energy (no corrections) (eV/atom): 2.17
Space group: No. 123

# 3
## CaYPtSe2 (GGA-PBE)

Data for a geometry-optimized CaYPtSe2 structure. Values from VASP.

```
&SYSTEM
  ibrav = 0, nat = 5, ntyp = 4
/
ATOMIC_SPECIES
Ca 40.08 Ca.upf
Y 88.91 Y.upf
Pt 195.08 Pt.upf
Se 78.96 Se.upf
CELL_PARAMETERS angstrom
5.151 0.000 0.000
0.000 5.151 0.000
0.000 0.000 12.395
ATOMIC_POSITIONS crystal
Ca 0.000 0.000 0.000
Y 0.000 0.000 0.500
Pt 0.500 0.500 0.000
Se 0.000 0.500 0.500
Se 0.500 0.000 0.500
```

Calculated values
Size of the total moment (μB per atom): 0.060
Formation energy (no corrections) (eV/atom): 0.10
Space group: No. 123

# 4
## CaSiPt2 (GGA-PBE)

Data for a geometry-optimized CaSiPt2 structure. Values from VASP.

```
&SYSTEM
  ibrav = 0, nat = 4, ntyp = 3
/
ATOMIC_SPECIES
Ca 40.08 Ca.upf
Si 28.09 Si.upf
Pt 195.08 Pt.upf
CELL_PARAMETERS angstrom
2.069 1.195 5.465
-2.069 1.195 5.465
0.000 -2.390 5.465
ATOMIC_POSITIONS crystal
Ca 0.000 0.000 0.000
Si 0.186 0.186 0.186
Pt 0.550 0.550 0.550
Pt 0.799 0.799 0.799
```

Calculated values
Size of the total moment (μB per atom): 0.000
Formation energy (no corrections) (eV/atom): -0.79
Space group: No. 160

# 5
## CaSi3Pt (GGA-PBE)

Data for a geometry-optimized CaSi3Pt structure. Values from VASP.

```
&SYSTEM
  ibrav = 0, nat = 5, ntyp = 3
/
ATOMIC_SPECIES
Ca 40.08 Ca.upf
Si 28.09 Si.upf
Pt 195.08 Pt.upf
CELL_PARAMETERS angstrom
4.830 0.000 0.000
0.000 4.830 0.000
0.000 0.000 4.830
ATOMIC_POSITIONS crystal
Ca 0.000 0.000 0.000
Si 0.000 0.500 0.500
Si 0.500 0.000 0.500
Si 0.500 0.500 0.000
Pt 0.500 0.500 0.500
```

Calculated values
Size of the total moment (μB per atom): 0.000
Formation energy (no corrections) (eV/atom): 0.20
Space group: No. 221

# 6
## CaSiPt3 (GGA-PBE)

Data for a geometry-optimized CaSiPt3 structure. Values from VASP.

```
&SYSTEM
  ibrav = 0, nat = 5, ntyp = 3
/
ATOMIC_SPECIES
Ca 40.08 Ca.upf
Si 28.09 Si.upf
Pt 195.08 Pt.upf
CELL_PARAMETERS angstrom
4.956 0.000 0.000
0.000 4.956 0.000
0.000 0.000 4.956
ATOMIC_POSITIONS crystal
Ca 0.000 0.000 0.000
Si 0.500 0.500 0.500
Pt 0.000 0.000 0.500
Pt 0.000 0.500 0.000
Pt 0.500 0.000 0.000
```

Calculated values
Size of the total moment (μB per atom): 0.000
Formation energy (no corrections) (eV/atom): 1.39
Space group: No. 221

# 7
## Ca3Si2Pt4 (GGA-PBE)

Data for a geometry-optimized Ca3Si2Pt4 structure. Values from VASP.

```
&SYSTEM
  ibrav = 0, nat = 9, ntyp = 3
/
ATOMIC_SPECIES
Ca 40.08 Ca.upf
Si 28.09 Si.upf
Pt 195.08 Pt.upf
CELL_PARAMETERS angstrom
5.330 -2.144 0.000
5.330 2.144 0.000
-2.741 0.000 7.952
ATOMIC_POSITIONS crystal
Ca 0.000 0.000 0.000
Ca 0.374 0.374 0.303
Ca 0.626 0.626 0.697
Si 0.326 0.326 0.658
Si 0.674 0.674 0.342
Pt 0.107 0.107 0.423
Pt 0.279 0.279 0.913
Pt 0.721 0.721 0.087
Pt 0.893 0.893 0.577
```

Calculated values
Size of the total moment (μB per atom): 0.000
Formation energy (no corrections) (eV/atom): -0.96
Space group: No. 12

# 8
## CaSi3Pt (GGA-PBE)

Data for a geometry-optimized CaSi3Pt structure. Values from VASP.

```
&SYSTEM
  ibrav = 0, nat = 5, ntyp = 3
/
ATOMIC_SPECIES
Ca 40.08 Ca.upf
Si 28.09 Si.upf
Pt 195.08 Pt.upf
CELL_PARAMETERS angstrom
5.035 0.000 0.000
0.000 5.035 0.000
0.000 0.000 5.035
ATOMIC_POSITIONS crystal
Ca 0.000 0.000 0.000
Si 0.000 0.000 0.500
Si 0.000 0.500 0.000
Si 0.500 0.000 0.000
Pt 0.500 0.500 0.500
```

Calculated values
Size of the total moment (μB per atom): 0.000
Formation energy (no corrections) (eV/atom): 1.82
Space group: No. 221

# 9
## CaSi6Pt12 (GGA-PBE)

Data for a geometry-optimized CaSi6Pt12 structure. Values from VASP.

```
&SYSTEM
  ibrav = 0, nat = 19, ntyp = 3
/
ATOMIC_SPECIES
Ca 40.08 Ca.upf
Si 28.09 Si.upf
Pt 195.08 Pt.upf
CELL_PARAMETERS angstrom
5.747 3.318 2.728
-5.747 3.318 2.728
0.000 -6.636 2.728
ATOMIC_POSITIONS crystal
Ca 0.000 0.000 0.000
Si 0.258 0.258 0.690
Si 0.258 0.690 0.258
Si 0.310 0.742 0.742
Si 0.690 0.258 0.258
Si 0.742 0.310 0.742
Si 0.742 0.742 0.310
Pt 0.126 0.500 0.874
Pt 0.126 0.874 0.500
Pt 0.169 0.418 0.418
Pt 0.418 0.169 0.418
Pt 0.418 0.418 0.169
Pt 0.500 0.126 0.874
Pt 0.500 0.874 0.126
Pt 0.582 0.582 0.831
Pt 0.582 0.831 0.582
Pt 0.831 0.582 0.582
Pt 0.874 0.126 0.500
Pt 0.874 0.500 0.126
```

Calculated values
Size of the total moment (μB per atom): 0.000
Formation energy (no corrections) (eV/atom): -0.65
Space group: No. 166

# 10
## CaSiPt2 (GGA-PBE)

Data for a geometry-optimized CaSiPt2 structure. Values from VASP.

```
&SYSTEM
  ibrav = 0, nat = 8, ntyp = 3
/
ATOMIC_SPECIES
Ca 40.08 Ca.upf
Si 28.09 Si.upf
Pt 195.08 Pt.upf
CELL_PARAMETERS angstrom
-3.650 3.650 3.031
3.650 -3.650 3.031
3.650 3.650 -3.031
ATOMIC_POSITIONS crystal
Ca 0.000 0.000 0.000
Ca 0.750 0.250 0.500
Si 0.250 0.750 0.500
Si 0.500 0.500 0.000
Pt 0.209 0.125 0.584
Pt 0.375 0.791 0.916
Pt 0.541 0.625 0.416
Pt 0.875 0.459 0.084
```

Calculated values
Size of the total moment (μB per atom): 0.000
Formation energy (no corrections) (eV/atom): -0.66
Space group: No. 122

# 11
## Ca2SiPt2 (GGA-PBE)

Data for a geometry-optimized Ca2SiPt2 structure. Values from VASP.

```
&SYSTEM
  ibrav = 0, nat = 10, ntyp = 3
/
ATOMIC_SPECIES
Ca 40.08 Ca.upf
Si 28.09 Si.upf
Pt 195.08 Pt.upf
CELL_PARAMETERS angstrom
6.728 0.000 0.000
0.000 6.728 0.000
0.000 0.000 4.551
ATOMIC_POSITIONS crystal
Ca 0.170 0.330 0.000
Ca 0.330 0.830 0.000
Ca 0.670 0.170 0.000
Ca 0.830 0.670 0.000
Si 0.000 0.000 0.500
Si 0.500 0.500 0.500
Pt 0.148 0.648 0.500
Pt 0.352 0.148 0.500
Pt 0.648 0.852 0.500
Pt 0.852 0.352 0.500
```

Calculated values
Size of the total moment (μB per atom): 0.000
Formation energy (no corrections) (eV/atom): -0.76
Space group: No. 127

# 12
## CaSiPt2 (GGA-PBE)

Data for a geometry-optimized CaSiPt2 structure. Values from VASP.

```
&SYSTEM
  ibrav = 0, nat = 4, ntyp = 3
/
ATOMIC_SPECIES
Ca 40.08 Ca.upf
Si 28.09 Si.upf
Pt 195.08 Pt.upf
CELL_PARAMETERS angstrom
2.794 -3.991 0.000
2.794 3.991 0.000
0.000 0.000 3.591
ATOMIC_POSITIONS crystal
Ca 0.000 0.000 0.000
Si 0.500 0.500 0.000
Pt 0.312 0.688 0.500
Pt 0.688 0.312 0.500
```

Calculated values
Size of the total moment (μB per atom): 0.000
Formation energy (no corrections) (eV/atom): -0.51
Space group: No. 65